[1]
Density functional theory data (GGA-PBE) for Y3URu4 after structural relaxation.

a = 6.2778 Å, b = 6.2778 Å, c = 6.2778 Å
α = 105.96°, β = 97.30°, γ = 126.73°
Positions (direct):
Ru  0.8020  0.6856  0.4876
U  0.0308  0.5000  0.5308
Y  0.4572  0.7541  0.2113
Y  0.4572  0.2459  0.7031
Ru  0.9968  0.2378  0.7590
Ru  0.5212  0.7622  0.7590
Ru  0.8020  0.3144  0.1163
Y  0.0838  0.0000  0.0838

SG: Imm2

***

[2]
Density functional theory data (GGA-PBE) for PrNd4Sb5 after structural relaxation.

a = 4.5315 Å, b = 4.5315 Å, c = 16.3303 Å
α = 97.98°, β = 97.98°, γ = 90.00°
Positions (direct):
Sb  0.5000  0.5000  0.0000
Nd  0.6002  0.6002  0.2003
Sb  0.8996  0.8996  0.7992
Sb  0.1004  0.1004  0.2008
Nd  0.7999  0.7999  0.5997
Nd  0.3998  0.3998  0.7997
Nd  0.2001  0.2001  0.4003
Sb  0.3000  0.3000  0.6000
Pr  0.0000  0.0000  0.0000
Sb  0.7000  0.7000  0.4000

E_form (uncorrected) (meV per atom): -1191
SG: I4/mmm

***

[3]
Density functional theory data (GGA-PBE) for Rb2CrAgAu after structural relaxation.

a = 6.6202 Å, b = 5.2229 Å, c = 6.6202 Å
α = 90.00°, β = 90.00°, γ = 90.00°
Last column: magnetic moment on the atom in μB.
Positions (direct):
Ag  0.0000  0.0000  0.0000  0.00
Au  0.0000  0.5000  0.0000  0.01
Cr  0.5000  0.5000  0.5000  4.33
Rb  0.5000  0.0000  0.0000  0.00
Rb  0.0000  0.0000  0.5000  0.01

SG: P4/mmm

***

E_tot (eV for the cell shown)
-69.9, -56.4, -14.6
Density (g/cm3)
8.6, 6.7, 3.8